Entry 1:
Computed, not measured: a crystal of Te2PtCl relaxed with PBEsol at the SCAN level of DFT.

Results
- uncorrected energy (eV per cell) = -155.01
- energy relative to the elements, uncorrected (meV/atom) = -584.4
- crystal system = trigonal
- SG = No. 166

Structure (POSCAR):
```
Te2PtCl
1.0
2.015 1.163 6.922
-2.015 1.163 6.922
0.000 -2.326 6.922
Te Pt Cl
2 1 1
Cartesian
0.000 0.000 4.768 Te
0.000 0.000 15.998 Te
0.000 0.000 10.383 Pt
0.000 0.000 0.000 Cl
```


Entry 2:
Computed, not measured: a crystal of TePtCl2 relaxed with PBEsol at the SCAN level of DFT.

Results
- uncorrected energy (eV per cell) = -120.26
- energy relative to the elements, uncorrected (meV/atom) = 784.9
- crystal system = tetragonal
- SG = No. 123

Structure (POSCAR):
```
TePtCl2
1.0
5.003 0.000 0.000
0.000 5.003 0.000
0.000 0.000 3.086
Te Pt Cl
1 1 2
Cartesian
0.000 0.000 0.000 Te
2.501 2.501 0.000 Pt
0.000 2.501 1.543 Cl
2.501 0.000 1.543 Cl
```